Record 1
The following is a PBE calculation of an optimized crystal structure of Tb2SmCd2, from Alexandria.

The value obtained for the total magnetization is 0.000 μB per atom. Its excess energy over the best structure of this formula in the dataset is 0 meV/atom.

Cell: 3.7520 5.4165 13.9558 Å, 90.00 97.74 90.00°
Positions (direct):
Tb 0.0464 0.2500 0.0919
Tb 0.2358 0.2500 0.4725
Tb 0.7642 0.7500 0.5275
Tb 0.9536 0.7500 0.9081
Sm 0.1492 0.7500 0.2966
Sm 0.8508 0.2500 0.7034
Cd 0.3587 0.7500 0.7176
Cd 0.4500 0.2500 0.9006
Cd 0.5500 0.7500 0.0994
Cd 0.6413 0.2500 0.2824

Record 2
The following is a PBE calculation of an optimized crystal structure of TbSmThCd, from Alexandria.

The value obtained for the total magnetization is 0.001 μB per atom. Its excess energy over the best structure of this formula in the dataset is 255 meV/atom.

Cell: 5.5085 5.5085 5.5085 Å, 60.00 60.00 60.00°
Positions (direct):
Tb 0.0000 0.0000 0.0000
Sm 0.5000 0.5000 0.5000
Th 0.7500 0.7500 0.7500
Cd 0.2500 0.2500 0.2500

Record 3
The following is a PBE calculation of an optimized crystal structure of TbSmThCd, from Alexandria.

The value obtained for the total magnetization is 0.000 μB per atom. Its excess energy over the best structure of this formula in the dataset is 0 meV/atom.

Cell: 3.6314 3.6314 8.9484 Å, 90.00 90.00 90.00°
Positions (direct):
Tb 0.0000 0.0000 0.0000
Sm 0.0000 0.0000 0.5356
Th 0.5000 0.5000 0.2653
Cd 0.5000 0.5000 0.7736

| no. | ΔE_f (eV/atom) |
| --- | --- |
| 1 | -0.258 |
| 2 | 0.087 |
| 3 | -0.168 |